First-principles (PBE-GGA) data for a relaxed Sm3Zn2Sn4 crystal, as listed in Alexandria.

Cell: 6.284 6.284 9.176 Å, 109.45 109.45 42.50°
Fractional positions:
Sm1 0.000 0.000 0.000
Sm2 0.370 0.370 0.315
Sm3 0.630 0.630 0.685
Zn1 0.307 0.307 0.645
Zn2 0.693 0.693 0.355
Sn1 0.081 0.081 0.386
Sn2 0.295 0.295 0.935
Sn3 0.705 0.705 0.065
Sn4 0.919 0.919 0.614

Output
Its crystal system is monoclinic. The value obtained for the formation energy is -0.540 eV per atom. The value obtained for the total energy is -37.58 eV/f.u. The magnetic moment comes out at 0.0 μB/f.u.

First-principles (PBE-GGA) data for a relaxed Sm2ZnSn2 crystal, as listed in Alexandria.

Cell: 8.715 8.715 7.144 Å, 90.00 90.00 149.10°
Fractional positions:
Sm1 0.014 0.986 0.500
Sm2 0.206 0.794 0.800
Sm3 0.794 0.206 0.300
Sm4 0.986 0.014 0.000
Zn1 0.407 0.593 0.671
Zn2 0.593 0.407 0.171
Sn1 0.170 0.830 0.259
Sn2 0.426 0.574 0.272
Sn3 0.574 0.426 0.772
Sn4 0.830 0.170 0.759

Output
Its crystal system is orthorhombic. The value obtained for the formation energy is -0.573 eV per atom. The value obtained for the total energy is -21.59 eV/f.u. The magnetic moment comes out at 0.0 μB/f.u.